Material: Dy2Ag3SnTe6
Method: DFT, PBE-GGA
State: optimized geometry

Cell lengths 4.293, 8.375, 10.377 Å; angles 101.37, 101.94, 90.00 degrees
Positions (direct):
Te  0.342  0.956  0.685
Te  0.983  0.723  0.965
Ag  0.500  0.500  0.000
Dy  0.177  0.314  0.354
Te  0.667  0.576  0.335
Sn  0.500  0.000  0.000
Te  0.017  0.277  0.035
Dy  0.823  0.686  0.646
Ag  0.203  0.812  0.407
Te  0.658  0.044  0.315
Ag  0.797  0.188  0.593
Te  0.333  0.424  0.665

Values from the calculation:
Crystal system   monoclinic
Formation energy from raw total energies   -58.3 kJ/mol of atoms
Symmetry   No. 12


Material: TlTe2Cl
Method: DFT, PBE-GGA
State: optimized geometry

Cell lengths 3.327, 3.327, 9.971 Å; angles 90.00, 90.00, 90.00 degrees
Positions (direct):
Te  0.000  0.000  0.520
Tl  0.500  0.500  0.250
Cl  0.500  0.500  0.750
Te  0.000  0.000  0.980

Values from the calculation:
Crystal system   tetragonal
Offset from the most stable computed form   0.467 eV/atom
Formation energy from raw total energies   6.3 kJ/mol of atoms
Symmetry   No. 123


Material: CaHgBr
Method: DFT, PBE-GGA
State: optimized geometry

Cell lengths 5.165, 5.165, 5.165 Å; angles 60.00, 60.00, 60.00 degrees
Positions (direct):
Br  0.750  0.750  0.750
Ca  0.000  0.000  0.000
Hg  0.500  0.500  0.500

Values from the calculation:
Crystal system   cubic
Offset from the most stable computed form   0.485 eV/atom
Formation energy from raw total energies   -62.5 kJ/mol of atoms
Symmetry   No. 216


Material: HfIn2Ni
Method: DFT, PBE-GGA
State: optimized geometry

Cell lengths 3.115, 3.115, 10.207 Å; angles 81.22, 81.22, 60.00 degrees
Positions (direct):
Ni  0.500  0.500  0.500
In  0.100  0.100  0.701
Hf  0.000  0.000  0.000
In  0.900  0.900  0.299

Values from the calculation:
Crystal system   trigonal
E_form   315 meV per atom
Symmetry   No. 166


Material: Sc2Be2Au
Method: DFT, PBE-GGA
State: optimized geometry

Cell lengths 6.524, 6.524, 3.713 Å; angles 90.00, 90.00, 90.00 degrees
Positions (direct):
Sc  0.326  0.174  0.500
Au  0.500  0.500  0.000
Be  0.380  0.880  0.000
Sc  0.826  0.326  0.500
Be  0.120  0.380  0.000
Sc  0.174  0.674  0.500
Be  0.880  0.620  0.000
Be  0.620  0.120  0.000
Au  0.000  0.000  0.000
Sc  0.674  0.826  0.500

Values from the calculation:
Crystal system   tetragonal
E_form   -352 meV per atom
Symmetry   No. 127


Material: CsRb3Mg2H9
Method: DFT, PBE-GGA
State: optimized geometry

Cell lengths 6.035, 6.035, 8.991 Å; angles 90.00, 90.00, 120.00 degrees
Positions (direct):
H  0.821  0.179  0.746
Cs  0.000  0.000  0.500
H  0.179  0.821  0.254
H  0.500  0.000  0.000
H  0.179  0.357  0.254
H  0.000  0.500  0.000
Rb  0.333  0.667  0.741
Rb  0.667  0.333  0.259
Rb  0.000  0.000  0.000
H  0.821  0.643  0.746
H  0.500  0.500  0.000
H  0.357  0.179  0.746
Mg  0.333  0.667  0.141
Mg  0.667  0.333  0.859
H  0.643  0.821  0.254

Values from the calculation:
Crystal system   trigonal
Symmetry   No. 164


Material: UAs2
Method: DFT, PBE-GGA
State: optimized geometry

Cell lengths 3.804, 3.804, 5.198 Å; angles 111.40, 111.40, 90.01 degrees
Positions (direct):
As  0.858  0.858  0.716
As  0.142  0.142  0.284
U  0.500  0.500  0.000

Values from the calculation:
Crystal system   tetragonal
E_form   -424 meV per atom
Symmetry   No. 139


Material: Sn2BiSb
Method: DFT, PBE-GGA
State: optimized geometry

Cell lengths 4.416, 4.416, 7.742 Å; angles 73.43, 73.43, 60.00 degrees
Positions (direct):
Sn  0.253  0.253  0.240
Sn  0.747  0.747  0.760
Sb  0.000  0.000  0.000
Bi  0.500  0.500  0.500

Values from the calculation:
Crystal system   trigonal
Offset from the most stable computed form   0.000 eV/atom
Formation energy from raw total energies   4.0 kJ/mol of atoms
Symmetry   No. 166


Calculated calculated total energy, -47.9 -10.2 -5.9 -20.0 -50.3 -38.0 -21.9 -15.8 eV/cell (same order as the records).